No. 1
An optimized crystal structure of Ag2Pt, computed with PBEsol.

Properties
E_tot: -4.503 eV per atom
Energy relative to the lowest polymorph listed for this composition: 33 meV/atom
Energy relative to the elements: 2 kJ per mole of atoms

Geometry as CIF:
```
data_Ag2Pt
_chemical_formula_sum 'Ag8 Pt4'
_cell_length_a 5.656
_cell_length_b 3.971
_cell_length_c 8.489
_cell_angle_alpha 90.00
_cell_angle_beta 90.00
_cell_angle_gamma 90.00
_symmetry_space_group_name_H-M 'P n m a'
_symmetry_Int_Tables_number 62
_symmetry_space_group_name_Hall '-P 2ac 2n'
loop_
_atom_site_label
_atom_site_type_symbol
_atom_site_fract_x
_atom_site_fract_y
_atom_site_fract_z
Ag1 Ag 0.122 0.250 0.085
Ag2 Ag 0.129 0.250 0.750
Pt1 Pt 0.119 0.250 0.421
```

No. 2
An optimized crystal structure of CrSeBr2, computed with PBEsol.

Properties
E_tot: -4.453 eV per atom
Energy relative to the lowest polymorph listed for this composition: 18 meV/atom
Uncorrected formation energy: 0.01 eV/atom

Geometry as CIF:
```
data_CrSeBr2
_chemical_formula_sum 'Cr1 Se1 Br2'
_cell_length_a 2.976
_cell_length_b 2.976
_cell_length_c 9.399
_cell_angle_alpha 90.00
_cell_angle_beta 90.00
_cell_angle_gamma 90.00
_symmetry_space_group_name_H-M 'P 4 m m'
_symmetry_Int_Tables_number 99
_symmetry_space_group_name_Hall 'P 4 -2'
loop_
_atom_site_label
_atom_site_type_symbol
_atom_site_fract_x
_atom_site_fract_y
_atom_site_fract_z
Cr1 Cr 0.000 0.000 0.000
Se1 Se 0.500 0.500 0.150
Br1 Br 0.000 0.000 0.485
Br2 Br 0.500 0.500 0.827
```